PBE+U GaHgWO2, optimized geometry; Fermi-level density of states = 1.49 states/eV per cell; calculated total energy = -3.6195 eV per atom
1.0
-3.834 0.996 0.093
-0.013 -0.552 5.371
1.000 3.814 0.394
O Hg Ga W
2 1 1 1
Direct
0.500 0.000 0.000
0.000 0.000 0.500
0.500 0.500 0.500
0.000 0.000 0.000
0.000 0.500 0.000